Computed, not measured: Cd3InHg5 after structural relaxation at the PBE level of DFT.

extended XYZ file:
```
18
Lattice="8.9523 0.0000 0.0000 -4.4761 7.7529 0.0000 0.0000 0.0000 6.6283" Properties=species:S:1:pos:R:3 pbc="T T T"
Cd -1.6022 2.7751 1.6571
Cd -2.8739 4.9778 4.9712
Cd 3.2044 0.0000 1.6571
Cd 1.6022 2.7751 4.9712
Cd 5.7478 0.0000 4.9712
Cd 2.8739 4.9778 1.6571
In 0.0000 0.0000 0.0000
In 0.0000 0.0000 3.3142
Hg -1.3907 2.4087 4.9712
Hg -3.0854 5.3441 1.6571
Hg 2.7814 0.0000 4.9712
Hg 1.3907 2.4087 1.6571
Hg 0.0000 5.1686 0.0000
Hg 0.0000 5.1686 3.3142
Hg 4.4761 2.5843 0.0000
Hg 4.4761 2.5843 3.3142
Hg 6.1709 0.0000 1.6571
Hg 3.0854 5.3441 4.9712
```

Results
crystal system = hexagonal
E_form = 31 meV/atom
DOS(E_F) = 2.90 states/eV/f.u.

Computed, not measured: Tb4AsS2 after structural relaxation at the PBE level of DFT.

extended XYZ file:
```
7
Lattice="7.4103 -1.9747 0.0000 7.4103 1.9747 0.0000 -2.9466 0.0000 6.0215" Properties=species:S:1:pos:R:3 pbc="T T T"
Tb 0.5096 0.0000 2.7818
Tb 5.3874 0.0000 0.1858
Tb 6.4866 0.0000 5.8357
Tb 11.3645 0.0000 3.2397
As 0.0000 0.0000 0.0000
S 3.0348 0.0000 1.5828
S 8.8392 0.0000 4.4387
```

Results
formation energy from raw total energies = -1.50 eV/atom
crystal system = monoclinic
DOS(E_F) = 3.72 states/eV/f.u.

Computed, not measured: Ag5C after structural relaxation at the PBE level of DFT.

extended XYZ file:
```
6
Lattice="5.0317 0.0000 0.0000 -2.5159 4.3576 0.0000 0.0000 0.0000 4.5318" Properties=species:S:1:pos:R:3 pbc="T T T"
Ag -1.7163 2.9727 0.0000
Ag 0.7996 1.3849 0.0000
Ag 0.0000 2.9051 2.2659
Ag 2.5159 1.4525 2.2659
Ag 3.4326 0.0000 0.0000
C 0.0000 0.0000 2.2659
```

Results
crystal system = hexagonal
E_form = 928 meV/atom
DOS(E_F) = 3.36 states/eV/f.u.